1.
# ReAg

A geometry-optimized ReAg structure (PBE, Alexandria).

Output
calculated formation energy: 0.720 eV/atom
V: 16.082 A^3/atom

Geometry as POSCAR:
```
ReAg
1.0
4.5002 0.0000 0.0000
0.0000 4.2219 2.5394
0.0000 -4.2219 2.5394
Re Ag
3 3
direct
0.0000 0.0000 0.0000 Re
0.5000 0.0050 0.6965 Re
0.5000 0.6965 0.0050 Re
0.0000 0.3427 0.6777 Ag
0.0000 0.6777 0.3427 Ag
0.5000 0.3431 0.3431 Ag
```

***

2.
# Li2YTe

A geometry-optimized Li2YTe structure (PBE, Alexandria).

Output
calculated total energy: -3.747 eV/atom
V: 26.308 A^3/atom

Geometry as POSCAR:
```
Li2YTe
1.0
-4.1928 4.1928 2.9930
4.1928 -4.1928 2.9930
4.1928 4.1928 -2.9930
Li Y Te
4 2 2
direct
0.0679 0.6250 0.9429 Li
0.3750 0.3179 0.4429 Li
0.6821 0.1250 0.0571 Li
0.8750 0.9321 0.5571 Li
0.2500 0.7500 0.5000 Y
0.5000 0.5000 0.0000 Y
0.0000 0.0000 0.0000 Te
0.7500 0.2500 0.5000 Te
```

***

3.
# LiPmSc2Au4

A geometry-optimized LiPmSc2Au4 structure (PBE, Alexandria).

Output
calculated formation energy: -0.722 eV/atom
V: 20.537 A^3/atom

Geometry as POSCAR:
```
LiPmSc2Au4
1.0
2.3801 1.3741 8.3724
-2.3801 1.3741 8.3724
0.0000 -2.7483 8.3724
Li Pm Sc Au
1 1 2 4
direct
0.0000 0.0000 0.0000 Li
0.5000 0.5000 0.5000 Pm
0.2617 0.2617 0.2617 Sc
0.7383 0.7383 0.7383 Sc
0.1057 0.1057 0.1057 Au
0.3756 0.3756 0.3756 Au
0.6244 0.6244 0.6244 Au
0.8943 0.8943 0.8943 Au
```

***

4.
# TaCrBr2

A geometry-optimized TaCrBr2 structure (PBE, Alexandria).

Output
calculated total energy: -5.016 eV/atom
V: 21.894 A^3/atom

Geometry as POSCAR:
```
TaCrBr2
1.0
-2.9527 2.9527 5.0224
2.9527 -2.9527 5.0224
2.9527 2.9527 -5.0224
Ta Cr Br
2 2 4
direct
0.0000 0.0000 0.0000 Ta
0.7500 0.2500 0.5000 Ta
0.2500 0.7500 0.5000 Cr
0.5000 0.5000 0.0000 Cr
0.1559 0.6250 0.0309 Br
0.3750 0.4059 0.5309 Br
0.5941 0.1250 0.9691 Br
0.8750 0.8441 0.4691 Br
```

***

5.
# PuZrAgSe4

A geometry-optimized PuZrAgSe4 structure (PBE, Alexandria).

Output
calculated total energy: -6.765 eV/atom
V: 27.550 A^3/atom

Geometry as POSCAR:
```
PuZrAgSe4
1.0
-3.9666 4.2125 5.7709
3.9666 -4.2125 5.7709
3.9666 4.2125 -5.7709
Pu Zr Ag Se
2 2 2 8
direct
0.0000 0.0000 0.0000 Pu
0.5000 0.0000 0.5000 Pu
0.5000 0.0000 0.0000 Zr
0.5000 0.5000 0.5000 Zr
0.1167 0.3667 0.7500 Ag
0.8833 0.6333 0.2500 Ag
0.2658 0.2598 0.4939 Se
0.2658 0.7719 0.0061 Se
0.2752 0.7496 0.5256 Se
0.2760 0.2504 0.0256 Se
0.7240 0.7496 0.9744 Se
0.7248 0.2504 0.4744 Se
0.7342 0.2281 0.9939 Se
0.7342 0.7402 0.5061 Se
```

***

6.
# Na2ErPb9

A geometry-optimized Na2ErPb9 structure (PBE, Alexandria).

Output
calculated formation energy: -0.163 eV/atom
V: 29.498 A^3/atom

Geometry as POSCAR:
```
Na2ErPb9
1.0
4.8557 0.0000 0.0000
0.0000 4.8557 0.0000
0.0000 0.0000 15.0131
Na Er Pb
2 1 9
direct
0.0000 0.0000 0.1685 Na
0.0000 0.0000 0.8315 Na
0.0000 0.0000 0.5000 Er
0.0000 0.5000 0.0000 Pb
0.0000 0.5000 0.3349 Pb
0.0000 0.5000 0.6651 Pb
0.5000 0.0000 0.0000 Pb
0.5000 0.0000 0.3349 Pb
0.5000 0.0000 0.6651 Pb
0.5000 0.5000 0.1650 Pb
0.5000 0.5000 0.5000 Pb
0.5000 0.5000 0.8350 Pb
```

***

7.
# Ac6Hg3Ru2

A geometry-optimized Ac6Hg3Ru2 structure (PBE, Alexandria).

Output
calculated formation energy: -0.213 eV/atom
V: 33.742 A^3/atom

Geometry as POSCAR:
```
Ac6Hg3Ru2
1.0
-2.7949 2.7949 11.8787
2.7949 -2.7949 11.8787
2.7949 2.7949 -11.8787
Ac Hg Ru
6 3 2
direct
0.0845 0.5845 0.5000 Ac
0.1987 0.1987 0.0000 Ac
0.4155 0.9155 0.5000 Ac
0.5845 0.0845 0.5000 Ac
0.8013 0.8013 0.0000 Ac
0.9155 0.4155 0.5000 Ac
0.3331 0.3331 0.0000 Hg
0.5000 0.5000 0.0000 Hg
0.6669 0.6669 0.0000 Hg
0.0622 0.0622 0.0000 Ru
0.9378 0.9378 0.0000 Ru
```

***

8.
# RbGa6Ge6

A geometry-optimized RbGa6Ge6 structure (PBE, Alexandria).

Output
calculated formation energy: 0.102 eV/atom
V: 28.270 A^3/atom

Geometry as POSCAR:
```
RbGa6Ge6
1.0
7.1629 0.0000 0.0000
0.0000 7.1629 0.0000
0.0000 0.0000 7.1629
Rb Ga Ge
1 6 6
direct
0.0000 0.0000 0.0000 Rb
0.0000 0.5000 0.2519 Ga
0.0000 0.5000 0.7481 Ga
0.2519 0.0000 0.5000 Ga
0.5000 0.2519 0.0000 Ga
0.5000 0.7481 0.0000 Ga
0.7481 0.0000 0.5000 Ga
0.0000 0.2488 0.5000 Ge
0.0000 0.7512 0.5000 Ge
0.2488 0.5000 0.0000 Ge
0.5000 0.0000 0.2488 Ge
0.5000 0.0000 0.7512 Ge
0.7512 0.5000 0.0000 Ge
```

***

> Which of these has the highest V?

Ac6Hg3Ru2

***

> The lowest V belongs to which entry?

ReAg